[1]
First-principles (PBE-GGA) data for CoNi2Rh2 after structural relaxation, as listed in Alexandria.

abc: 4.1483 4.1483 12.7215
angles: 90.00 90.00 120.00
Space group R-3m (No. 166, hexagonal axes)
Symmetry-distinct sites (fractional):
Co 0.0000 0.0000 0.0000 [3 per cell]
Ni 0.0000 0.0000 0.1893 [6 per cell]
Rh 0.0000 0.0000 0.3955 [6 per cell]

## Properties
energy of formation	14.4	kJ per mole of atoms

=====

[2]
First-principles (PBE-GGA) data for RbAgCl3 after structural relaxation, as listed in Alexandria.

abc: 4.958 7.909 6.974
angles: 90.00 90.14 90.00
Space group P2_1/m (No. 11)
Symmetry-distinct sites (fractional):
Rb 0.001 0.250 0.498 [2 per cell]
Ag 0.500 0.250 0.999 [2 per cell]
Cl 0.000 0.250 0.998 [2 per cell]
Cl 0.499 0.000 0.736 [4 per cell]

## Properties
formation energy without anion corrections	-0.959	eV/atom

=====

[3]
First-principles (PBE-GGA) data for Nb2Ni7Sn2Pt after structural relaxation, as listed in Alexandria.

abc: 4.885 4.885 15.229
angles: 90.00 99.13 90.00
Space group C2/m (No. 12)
Symmetry-distinct sites (fractional):
Nb 0.125 0.000 0.254 [4 per cell]
Ni 0.000 0.000 0.000 [2 per cell]
Ni 0.186 0.250 0.869 [8 per cell]
Ni 0.223 0.000 0.450 [4 per cell]
Sn 0.186 0.500 0.377 [4 per cell]
Pt 0.000 0.500 0.000 [2 per cell]

## Properties
energy of formation	2.5	kJ per mole of atoms